Record 1
Below is an optimized crystal structure of UCrCu2O8, with properties calculated at the PBE+U level.

Structure (POSCAR):
```
UCrCu2O8
1.0
-3.1816 3.1816 3.6309
3.1816 -3.1816 3.6309
3.1816 3.1816 -3.6309
U Cr Cu O
1 1 2 8
direct
0.0000 0.0000 0.0000 U
0.2500 0.7500 0.5000 Cr
0.5000 0.5000 0.0000 Cu
0.7500 0.2500 0.5000 Cu
0.3154 0.0911 0.7757 O
0.3154 0.5397 0.2243 O
0.3638 0.0666 0.2972 O
0.4603 0.6846 0.7757 O
0.7694 0.0666 0.7028 O
0.9089 0.6846 0.2243 O
0.9334 0.2306 0.2972 O
0.9334 0.6362 0.7028 O
```

Results
electronic total energy	-0.25070	Ha/atom
symmetry	I-4m2


Record 2
Below is an optimized crystal structure of V2CrCuO8, with properties calculated at the PBE+U level.

Structure (POSCAR):
```
V2CrCuO8
1.0
5.6678 0.0000 0.0000
-2.8339 4.9084 0.0000
0.0000 0.0000 5.4051
V Cr Cu O
2 1 1 8
direct
0.3333 0.6667 0.1846 V
0.6667 0.3333 0.8154 V
0.0000 0.0000 0.0000 Cr
0.0000 0.0000 0.5000 Cu
0.1531 0.3062 0.2531 O
0.1531 0.8469 0.2531 O
0.3062 0.1531 0.7469 O
0.3333 0.6667 0.8849 O
0.6667 0.3333 0.1151 O
0.6938 0.8469 0.2531 O
0.8469 0.1531 0.7469 O
0.8469 0.6938 0.7469 O
```

Results
electronic total energy	-0.25454	Ha/atom
symmetry	P-3m1


Record 3
Below is an optimized crystal structure of VCr2CuO, with properties calculated at the PBE+U level.

Structure (POSCAR):
```
VCr2CuO
1.0
4.1452 0.0000 0.0000
0.0000 4.1452 0.0000
0.0000 0.0000 4.2084
V Cr Cu O
1 2 1 1
direct
0.0000 0.0000 0.0000 V
0.0000 0.5000 0.5000 Cr
0.5000 0.0000 0.5000 Cr
0.5000 0.5000 0.0000 Cu
0.5000 0.5000 0.5000 O
```

Results
electronic total energy	-0.22842	Ha/atom
symmetry	P4/mmm


Record 4
Below is an optimized crystal structure of V4CrCuO12, with properties calculated at the PBE+U level.

Structure (POSCAR):
```
V4CrCuO12
1.0
5.9061 0.0000 0.0000
1.7167 6.5129 0.0000
1.7156 0.3119 6.5064
V Cr Cu O
4 1 1 12
direct
0.0000 0.0000 0.0000 V
0.0050 0.5841 0.5841 V
0.4892 0.4114 0.7746 V
0.5159 0.8094 0.1725 V
0.5027 0.2811 0.3029 Cr
0.0038 0.1076 0.4761 Cu
0.0113 0.1232 0.7699 O
0.1406 0.3834 0.4172 O
0.1980 0.5623 0.7595 O
0.3033 0.8649 0.0154 O
0.4272 0.9988 0.3463 O
0.4723 0.2940 0.0139 O
0.5331 0.5701 0.2900 O
0.5776 0.2377 0.5854 O
0.7017 0.5686 0.7190 O
0.8071 0.8246 0.0217 O
0.8647 0.1668 0.2007 O
0.9939 0.8143 0.4610 O
```

Results
electronic total energy	-0.26904	Ha/atom
symmetry	P1


Record 5
Below is an optimized crystal structure of CrCu2WO8, with properties calculated at the PBE+U level.

Structure (POSCAR):
```
CrCu2WO8
1.0
-3.1868 3.1868 3.2683
3.1868 -3.1868 3.2683
3.1868 3.1868 -3.2683
Cr Cu W O
1 2 1 8
direct
0.0000 0.0000 0.0000 Cr
0.2500 0.7500 0.5000 Cu
0.5000 0.5000 0.0000 Cu
0.7500 0.2500 0.5000 W
0.0218 0.3431 0.3213 O
0.0218 0.7006 0.6787 O
0.0971 0.2868 0.8102 O
0.2994 0.9782 0.3213 O
0.4766 0.2868 0.1898 O
0.6569 0.9782 0.6787 O
0.7132 0.5234 0.8102 O
0.7132 0.9029 0.1898 O
```

Results
electronic total energy	-0.22560	Ha/atom
symmetry	I-4m2


Record 6
Below is an optimized crystal structure of Cr2CuWO, with properties calculated at the PBE+U level.

Structure (POSCAR):
```
Cr2CuWO
1.0
5.0782 0.0000 0.0000
0.0000 5.0782 0.0000
0.0000 0.0000 4.8131
Cr Cu W O
2 1 1 1
direct
0.0000 0.5000 0.0000 Cr
0.5000 0.0000 0.0000 Cr
0.0000 0.0000 0.5000 Cu
0.0000 0.0000 0.0000 W
0.5000 0.5000 0.5000 O
```

Results
electronic total energy	-0.16212	Ha/atom
symmetry	P4/mmm


Record 7
Below is an optimized crystal structure of CrCuW2O8, with properties calculated at the PBE+U level.

Structure (POSCAR):
```
CrCuW2O8
1.0
4.6920 -5.7586 0.0000
4.6920 5.7586 0.0000
-0.0778 0.0000 5.0409
Cr Cu W O
2 2 4 16
direct
0.1759 0.8241 0.7500 Cr
0.8241 0.1759 0.2500 Cr
0.3355 0.6645 0.2500 Cu
0.6645 0.3355 0.7500 Cu
0.1632 0.3350 0.7556 W
0.3350 0.1632 0.2556 W
0.6650 0.8368 0.7444 W
0.8368 0.6650 0.2444 W
0.0636 0.7012 0.4143 O
0.0763 0.1965 0.0807 O
0.1846 0.5714 0.8916 O
0.1965 0.0763 0.5807 O
0.2988 0.9364 0.0857 O
0.3058 0.4058 0.4400 O
0.4058 0.3058 0.9400 O
0.4286 0.8154 0.6084 O
0.5714 0.1846 0.3916 O
0.5942 0.6942 0.0600 O
0.6942 0.5942 0.5600 O
0.7012 0.0636 0.9143 O
0.8035 0.9237 0.4193 O
0.8154 0.4286 0.1084 O
0.9237 0.8035 0.9193 O
0.9364 0.2988 0.5857 O
```

Results
electronic total energy	-0.26516	Ha/atom
symmetry	C2/c


Record 8
Below is an optimized crystal structure of YCr4Cu3O12, with properties calculated at the PBE+U level.

Structure (POSCAR):
```
YCr4Cu3O12
1.0
-3.6993 3.6993 3.6993
3.6993 -3.6993 3.6993
3.6993 3.6993 -3.6993
Y Cr Cu O
1 4 3 12
direct
0.0000 0.0000 0.0000 Y
0.0000 0.0000 0.5000 Cr
0.0000 0.5000 0.0000 Cr
0.5000 0.0000 0.0000 Cr
0.5000 0.5000 0.5000 Cr
0.0000 0.5000 0.5000 Cu
0.5000 0.0000 0.5000 Cu
0.5000 0.5000 0.0000 Cu
0.1404 0.3066 0.8338 O
0.1662 0.4728 0.3066 O
0.1662 0.8596 0.6934 O
0.3066 0.1662 0.4728 O
0.3066 0.8338 0.1404 O
0.4728 0.3066 0.1662 O
0.5272 0.6934 0.8338 O
0.6934 0.1662 0.8596 O
0.6934 0.8338 0.5272 O
0.8338 0.1404 0.3066 O
0.8338 0.5272 0.6934 O
0.8596 0.6934 0.1662 O
```

Results
electronic total energy	-0.25816	Ha/atom
symmetry	Im-3